Entry 1:
The following is a PBE-GGA calculation of a relaxed CoMo3Pt crystal, from Alexandria via LeMat-Bulk.

Results
ΔE to the lowest computed polymorph: 0.00 eV per formula unit
Symmetry: Pm-3m, No. 221
Fermi-level density of states: 1.690 states/eV/atom
Total magnetic moment: 0.000 μB per cell
Calculated formation energy: 1.028 eV per atom
Uncorrected energy: -40.5 eV per cell

abc: 4.4036 4.4036 4.4036
angles: 90.00 90.00 90.00
Fractional positions:
Mo1 0.0000 0.5000 0.0000
Mo2 0.0000 0.0000 0.5000
Mo3 0.5000 0.0000 0.0000
Co1 0.0000 0.0000 0.0000
Pt1 0.5000 0.5000 0.5000


Entry 2:
The following is a PBE-GGA calculation of a relaxed Tl2BrN2 crystal, from Alexandria via LeMat-Bulk.

Results
Symmetry: C2/m, No. 12
Fermi-level density of states: 0.197 states/eV/atom
Total magnetic moment: 0.000 μB per cell
Uncorrected energy: -24.0 eV per cell
Raw formation energy: -0.1927 eV/atom

abc: 3.8603 3.8601 12.9725
angles: 74.56 81.44 60.00
Fractional positions:
Tl1 0.3190 0.1752 0.1869
Tl2 0.6810 0.8248 0.8131
Br1 0.0000 0.0000 0.0000
N1 0.5199 0.4171 0.5430
N2 0.4801 0.5829 0.4570


Entry 3:
The following is a PBE-GGA calculation of a relaxed YCdTeO6 crystal, from Alexandria via LeMat-Bulk.

Results
Symmetry: P4_2nm, No. 102
Fermi-level density of states: 0.526 states/eV/atom
Total magnetic moment: 2.114 μB per cell
Uncorrected energy: -109.6 eV per cell
Raw formation energy: -1.6136 eV/atom

abc: 5.0451 5.0451 10.0667
angles: 90.00 90.00 90.00
Fractional positions:
Y1 0.5000 0.5000 0.1685
Y2 0.0000 0.0000 0.6685
Cd1 0.5000 0.5000 0.4995
Cd2 0.0000 0.0000 0.9995
Te1 0.5000 0.5000 0.8337
Te2 0.0000 0.0000 0.3337
O1 0.1803 0.8197 0.4791
O2 0.8197 0.1803 0.4791
O3 0.3197 0.3197 0.9791
O4 0.6803 0.6803 0.9791
O5 0.1856 0.8144 0.1922
O6 0.8144 0.1856 0.1922
O7 0.3144 0.3144 0.6922
O8 0.6856 0.6856 0.6922
O9 0.7731 0.2269 0.8279
O10 0.2269 0.7731 0.8279
O11 0.7269 0.7269 0.3279
O12 0.2731 0.2731 0.3279


Question: Which of these has the highest total magnetic moment?
Answer: YCdTeO6


Question: Among the records above, which one has the highest total magnetic moment?
Answer: YCdTeO6